No. 1
{"formula": "SrAlCu2S4", "functional": "PBE-GGA", "state": "relaxed", "lattice_angstrom": [[6.385, 0.000, 0.000], [3.192, 5.003, -0.802], [3.192, -0.243, 5.061]], "species": ["Sr", "Al", "Cu", "Cu", "S", "S", "S", "S"], "frac_coords": [[0.000, 0.000, 0.000], [0.000, 0.500, 0.500], [0.500, 0.749, 0.251], [0.500, 0.251, 0.749], [0.596, 0.532, 0.872], [0.404, 0.128, 0.468], [0.000, 0.468, 0.128], [0.000, 0.872, 0.532]], "m_tot_mub_per_fu": 0.0, "total_energy_ev_per_cell": -37.72, "formation_energy_uncorrected_ev_per_atom": -0.949}

---

No. 2
{"formula": "LiTlIn5", "functional": "PBE-GGA", "state": "relaxed", "lattice_angstrom": [[4.591, 0.000, 0.000], [0.000, 4.591, 0.000], [0.000, 0.000, 8.720]], "species": ["Li", "Tl", "In", "In", "In", "In", "In"], "frac_coords": [[0.000, 0.000, 0.500], [0.000, 0.000, 0.000], [0.500, 0.000, 0.698], [0.000, 0.500, 0.698], [0.500, 0.500, 0.000], [0.000, 0.500, 0.302], [0.500, 0.000, 0.302]], "ef_kj_per_mol_atoms": -0.93, "m_tot_mub_per_fu": 0.0, "total_energy_ev_per_cell": -18.04}

---

No. 3
{"formula": "Sr2BeBr", "functional": "PBE-GGA", "state": "relaxed", "lattice_angstrom": [[5.672, 0.000, 0.000], [2.836, 4.912, 0.000], [2.836, 1.637, 4.631]], "species": ["Sr", "Sr", "Br", "Be"], "frac_coords": [[0.000, 0.000, 0.000], [0.250, 0.250, 0.250], [0.750, 0.750, 0.750], [0.500, 0.500, 0.500]], "m_tot_mub_per_fu": 0.0, "total_energy_ev_per_cell": -7.54, "de_polymorph_mev_per_atom": 780, "formation_energy_uncorrected_ev_per_atom": 0.305}

---

Repeat the second record exactly.
{"formula": "LiTlIn5", "functional": "PBE-GGA", "state": "relaxed", "lattice_angstrom": [[4.591, 0.000, 0.000], [0.000, 4.591, 0.000], [0.000, 0.000, 8.720]], "species": ["Li", "Tl", "In", "In", "In", "In", "In"], "frac_coords": [[0.000, 0.000, 0.500], [0.000, 0.000, 0.000], [0.500, 0.000, 0.698], [0.000, 0.500, 0.698], [0.500, 0.500, 0.000], [0.000, 0.500, 0.302], [0.500, 0.000, 0.302]], "ef_kj_per_mol_atoms": -0.93, "m_tot_mub_per_fu": 0.0, "total_energy_ev_per_cell": -18.04}